# 1
The following is a DFT calculation (PBE) of a geometry-optimized Sn2Hg3Au7 structure.

Computed properties:
crystal system = monoclinic
size of the total moment = 0.00 μB/atom
E_form = 16.8 meV/atom

a = 4.3856 Å, b = 3.8448 Å, c = 16.3978 Å
α = 90.00°, β = 97.58°, γ = 90.00°
Space group P2/m (No. 10)
Asymmetric unit:
Sn 0.0756 0.0000 0.1651 [2 per cell]
Hg 0.2629 0.5000 0.5765 [2 per cell]
Hg 0.5000 0.5000 0.0000 [1 per cell]
Au 0.0000 0.0000 0.0000 [1 per cell]
Au 0.1412 0.5000 0.2893 [2 per cell]
Au 0.2440 0.0000 0.4244 [2 per cell]
Au 0.3716 0.0000 0.7311 [2 per cell]

=====

# 2
The following is a DFT calculation (PBE) of a geometry-optimized Sn2HgAu structure.

Computed properties:
crystal system = tetragonal
size of the total moment = 0.00 μB/atom
E_form = 56.8 meV/atom

a = 4.7937 Å, b = 4.7937 Å, c = 4.1710 Å
α = 90.00°, β = 90.00°, γ = 90.00°
Space group P4/mmm (No. 123)
Asymmetric unit:
Sn 0.0000 0.5000 0.0000 [2 per cell]
Hg 0.0000 0.0000 0.5000 [1 per cell]
Au 0.5000 0.5000 0.5000 [1 per cell]

=====

# 3
The following is a DFT calculation (PBE) of a geometry-optimized Sn2Hg2Au structure.

Computed properties:
crystal system = monoclinic
energy relative to the lowest polymorph listed for this composition = 0 meV per atom
size of the total moment = 0.00 μB/atom
E_form = -37.3 meV/atom

a = 7.7457 Å, b = 4.5656 Å, c = 8.2414 Å
α = 90.00°, β = 110.72°, γ = 90.00°
Space group C2/m (No. 12)
Asymmetric unit:
Sn 0.1076 0.0000 0.3488 [4 per cell]
Hg 0.1339 0.5000 0.9056 [4 per cell]
Au 0.0000 0.5000 0.5000 [2 per cell]

=====

# 4
The following is a DFT calculation (PBE) of a geometry-optimized Sn3HgAu2 structure.

Computed properties:
crystal system = monoclinic
size of the total moment = 0.00 μB/atom
E_form = -96.6 meV/atom

a = 16.7361 Å, b = 4.5828 Å, c = 7.9440 Å
α = 90.00°, β = 93.91°, γ = 90.00°
Space group C2/m (No. 12)
Asymmetric unit:
Sn 0.0212 0.0000 0.3112 [4 per cell]
Sn 0.1246 0.5000 0.8134 [4 per cell]
Sn 0.1855 0.5000 0.4006 [4 per cell]
Hg 0.1935 0.0000 0.0871 [4 per cell]
Au 0.0602 0.5000 0.1368 [4 per cell]
Au 0.1437 0.0000 0.6035 [4 per cell]

=====

# 5
The following is a DFT calculation (PBE) of a geometry-optimized Sn2Hg2Au3 structure.

Computed properties:
crystal system = monoclinic
energy relative to the lowest polymorph listed for this composition = 0 meV per atom
size of the total moment = 0.00 μB/atom
E_form = -60.3 meV/atom

a = 13.5487 Å, b = 4.4636 Å, c = 5.8621 Å
α = 90.00°, β = 111.28°, γ = 90.00°
Space group C2/m (No. 12)
Asymmetric unit:
Sn 0.0662 0.0000 0.3387 [4 per cell]
Hg 0.1733 0.5000 0.8139 [4 per cell]
Au 0.0000 0.5000 0.0000 [2 per cell]
Au 0.2122 0.5000 0.3342 [4 per cell]

=====

# 6
The following is a DFT calculation (PBE) of a geometry-optimized Sn5HgAu3 structure.

Computed properties:
crystal system = monoclinic
size of the total moment = 0.00 μB/atom
E_form = -10.9 meV/atom

a = 10.3822 Å, b = 9.3131 Å, c = 11.1170 Å
α = 90.00°, β = 114.10°, γ = 90.00°
Space group C2/m (No. 12)
Asymmetric unit:
Sn 0.0000 0.2063 0.0000 [4 per cell]
Sn 0.0933 0.2372 0.3949 [8 per cell]
Sn 0.1721 0.5000 0.6044 [4 per cell]
Sn 0.2369 0.0000 0.0472 [4 per cell]
Hg 0.2312 0.0000 0.7573 [4 per cell]
Au 0.0000 0.0000 0.5000 [2 per cell]
Au 0.0000 0.5000 0.0000 [2 per cell]
Au 0.0033 0.5000 0.2634 [4 per cell]
Au 0.0383 0.0000 0.2110 [4 per cell]

=====

# 7
The following is a DFT calculation (PBE) of a geometry-optimized Sn3Hg12Au5 structure.

Computed properties:
crystal system = cubic
size of the total moment = 0.00 μB/atom
E_form = 185.4 meV/atom

a = 16.8385 Å, b = 16.8385 Å, c = 16.8385 Å
α = 90.00°, β = 90.00°, γ = 90.00°
Space group Ia-3d (No. 230)
Asymmetric unit:
Sn 0.0000 0.2500 0.1250 [24 per cell]
Hg 0.0243 0.0783 0.6478 [96 per cell]
Au 0.0000 0.0000 0.0000 [16 per cell]
Au 0.0000 0.2500 0.3750 [24 per cell]

=====

# 8
The following is a DFT calculation (PBE) of a geometry-optimized Sn3HgAu3 structure.

Computed properties:
crystal system = monoclinic
energy relative to the lowest polymorph listed for this composition = 8 meV per atom
size of the total moment = 0.00 μB/atom
E_form = -49.7 meV/atom

a = 6.9989 Å, b = 12.1392 Å, c = 8.0365 Å
α = 90.00°, β = 97.15°, γ = 90.00°
Space group C2/m (No. 12)
Asymmetric unit:
Sn 0.0000 0.2106 0.0000 [4 per cell]
Sn 0.0000 0.2599 0.5000 [4 per cell]
Sn 0.0657 0.5000 0.8237 [4 per cell]
Hg 0.2352 0.0000 0.4968 [4 per cell]
Au 0.0232 0.0000 0.1761 [4 per cell]
Au 0.2279 0.3343 0.2407 [8 per cell]

=====

# 9
The following is a DFT calculation (PBE) of a geometry-optimized Sn2Hg2Au3 structure.

Computed properties:
crystal system = monoclinic
energy relative to the lowest polymorph listed for this composition = 45 meV per atom
size of the total moment = 0.00 μB/atom
E_form = -15.7 meV/atom

a = 12.3260 Å, b = 4.0855 Å, c = 7.6912 Å
α = 90.00°, β = 107.62°, γ = 90.00°
Space group C2/m (No. 12)
Asymmetric unit:
Sn 0.1262 0.0000 0.3863 [4 per cell]
Hg 0.1211 0.5000 0.8786 [4 per cell]
Au 0.0000 0.5000 0.5000 [2 per cell]
Au 0.2367 0.5000 0.2496 [4 per cell]

=====

# 10
The following is a DFT calculation (PBE) of a geometry-optimized Sn2HgAu structure.

Computed properties:
crystal system = trigonal
size of the total moment = 0.00 μB/atom
E_form = -55.9 meV/atom

a = 4.4767 Å, b = 4.4767 Å, c = 18.5935 Å
α = 90.00°, β = 90.00°, γ = 120.00°
Space group R3m (No. 160, hexagonal axes)
Asymmetric unit:
Sn 0.0000 0.0000 0.0000 [3 per cell]
Sn 0.0000 0.0000 0.2032 [3 per cell]
Hg 0.0000 0.0000 0.7745 [3 per cell]
Au 0.0000 0.0000 0.6031 [3 per cell]

=====

# 11
The following is a DFT calculation (PBE) of a geometry-optimized Sr2SnHgAu6 structure.

Computed properties:
crystal system = cubic
size of the total moment = 0.00 μB/atom
E_form = -198.3 meV/atom

a = 10.5223 Å, b = 10.5223 Å, c = 10.5223 Å
α = 90.00°, β = 90.00°, γ = 90.00°
Space group Fm-3m (No. 225)
Asymmetric unit:
Sr 0.2500 0.2500 0.2500 [8 per cell]
Sn 0.0000 0.0000 0.0000 [4 per cell]
Hg 0.0000 0.0000 0.5000 [4 per cell]
Au 0.0000 0.0000 0.2487 [24 per cell]

=====

# 12
The following is a DFT calculation (PBE) of a geometry-optimized Sr2Sn3HgAu4 structure.

Computed properties:
crystal system = tetragonal
size of the total moment = 0.00 μB/atom
E_form = -515.0 meV/atom

a = 4.6884 Å, b = 4.6884 Å, c = 11.7006 Å
α = 90.00°, β = 90.00°, γ = 90.00°
Space group P-4m2 (No. 115)
Asymmetric unit:
Sr 0.0000 0.5000 0.2444 [2 per cell]
Sn 0.0000 0.5000 0.8719 [2 per cell]
Sn 0.5000 0.5000 0.5000 [1 per cell]
Hg 0.0000 0.0000 0.5000 [1 per cell]
Au 0.0000 0.0000 0.0000 [1 per cell]
Au 0.0000 0.5000 0.6422 [2 per cell]
Au 0.5000 0.5000 0.0000 [1 per cell]

=====

# 13
The following is a DFT calculation (PBE) of a geometry-optimized TaSn2HgAu structure.

Computed properties:
crystal system = tetragonal
size of the total moment = 0.00 μB/atom
E_form = 578.3 meV/atom

a = 5.4736 Å, b = 5.4736 Å, c = 5.1109 Å
α = 90.00°, β = 90.00°, γ = 90.00°
Space group P4/mmm (No. 123)
Asymmetric unit:
Ta 0.0000 0.0000 0.0000 [1 per cell]
Sn 0.0000 0.5000 0.0000 [2 per cell]
Hg 0.5000 0.5000 0.5000 [1 per cell]
Au 0.0000 0.0000 0.5000 [1 per cell]

=====

# 14
The following is a DFT calculation (PBE) of a geometry-optimized SnHg2Te4Au structure.

Computed properties:
crystal system = orthorhombic
size of the total moment = 0.00 μB/atom
E_form (uncorrected) = -74 kJ/mol of formula units

a = 9.4742 Å, b = 8.0740 Å, c = 7.6529 Å
α = 90.00°, β = 90.00°, γ = 90.00°
Space group Pmn2_1 (No. 31)
Asymmetric unit:
Sn 0.0000 0.1801 0.0000 [2 per cell]
Hg 0.2493 0.3389 0.5051 [4 per cell]
Te 0.0000 0.1622 0.3892 [2 per cell]
Te 0.0000 0.8319 0.8791 [2 per cell]
Te 0.2263 0.6739 0.3831 [4 per cell]
Au 0.0000 0.8473 0.5227 [2 per cell]

=====

# 15
The following is a DFT calculation (PBE) of a geometry-optimized TiSnHg2Au structure.

Computed properties:
crystal system = tetragonal
size of the total moment = 0.39 μB/atom
E_form = 773.1 meV/atom

a = 5.4162 Å, b = 5.4162 Å, c = 5.4429 Å
α = 90.00°, β = 90.00°, γ = 90.00°
Space group P4/mmm (No. 123)
Asymmetric unit:
Ti 0.0000 0.0000 0.0000 [1 per cell]
Sn 0.0000 0.0000 0.5000 [1 per cell]
Hg 0.0000 0.5000 0.5000 [2 per cell]
Au 0.5000 0.5000 0.0000 [1 per cell]

=====

# 16
The following is a DFT calculation (PBE) of a geometry-optimized Tl3Sn3Hg2Au structure.

Computed properties:
crystal system = hexagonal
size of the total moment = 0.00 μB/atom
E_form = -45.6 meV/atom

a = 8.0969 Å, b = 8.0969 Å, c = 4.4071 Å
α = 90.00°, β = 90.00°, γ = 120.00°
Space group P-62m (No. 189)
Asymmetric unit:
Tl 0.0000 0.3999 0.0000 [3 per cell]
Sn 0.0000 0.7628 0.5000 [3 per cell]
Hg 0.3333 0.6667 0.5000 [2 per cell]
Au 0.0000 0.0000 0.0000 [1 per cell]

=====

# 17
The following is a DFT calculation (PBE) of a geometry-optimized TlSnHgAu3 structure.

Computed properties:
crystal system = orthorhombic
size of the total moment = 0.00 μB/atom
E_form = 2.4 meV/atom

a = 6.8132 Å, b = 17.7893 Å, c = 5.6428 Å
α = 90.00°, β = 90.00°, γ = 90.00°
Space group Cmcm (No. 63)
Asymmetric unit:
Tl 0.0000 0.2422 0.2500 [4 per cell]
Sn 0.0000 0.4298 0.7500 [4 per cell]
Hg 0.0000 0.1257 0.7500 [4 per cell]
Au 0.0000 0.2801 0.7500 [4 per cell]
Au 0.2044 0.0000 0.0000 [8 per cell]

=====

# 18
The following is a DFT calculation (PBE) of a geometry-optimized Tl2Sn4HgAu3 structure.

Computed properties:
crystal system = tetragonal
size of the total moment = 0.00 μB/atom
E_form = -62.1 meV/atom

a = 4.8140 Å, b = 4.8140 Å, c = 11.6756 Å
α = 90.00°, β = 90.00°, γ = 90.00°
Space group P-4m2 (No. 115)
Asymmetric unit:
Tl 0.0000 0.5000 0.2406 [2 per cell]
Sn 0.0000 0.0000 0.5000 [1 per cell]
Sn 0.0000 0.5000 0.8625 [2 per cell]
Sn 0.5000 0.5000 0.5000 [1 per cell]
Hg 0.5000 0.5000 0.0000 [1 per cell]
Au 0.0000 0.0000 0.0000 [1 per cell]
Au 0.0000 0.5000 0.6290 [2 per cell]

=====

# 19
The following is a DFT calculation (PBE) of a geometry-optimized Tl2SnHgAu structure.

Computed properties:
crystal system = orthorhombic
size of the total moment = 0.00 μB/atom
E_form = 113.6 meV/atom

a = 4.5533 Å, b = 4.5723 Å, c = 7.2472 Å
α = 90.00°, β = 90.00°, γ = 90.00°
Space group Pmm2 (No. 25)
Asymmetric unit:
Tl 0.0000 0.0000 0.0000 [1 per cell]
Tl 0.5000 0.5000 0.0019 [1 per cell]
Sn 0.5000 0.0000 0.6374 [1 per cell]
Hg 0.0000 0.5000 0.5975 [1 per cell]
Au 0.5000 0.0000 0.2693 [1 per cell]

=====

# 20
The following is a DFT calculation (PBE) of a geometry-optimized TlSnHgAu structure.

Computed properties:
crystal system = cubic
energy relative to the lowest polymorph listed for this composition = 55 meV per atom
size of the total moment = 0.00 μB/atom
E_form = 64.1 meV/atom

a = 7.3813 Å, b = 7.3813 Å, c = 7.3813 Å
α = 90.00°, β = 90.00°, γ = 90.00°
Space group F-43m (No. 216)
Asymmetric unit:
Tl 0.0000 0.0000 0.0000 [4 per cell]
Sn 0.0000 0.0000 0.5000 [4 per cell]
Hg 0.2500 0.2500 0.2500 [4 per cell]
Au 0.2500 0.2500 0.7500 [4 per cell]

=====

| no. | total DFT energy (no corrections) (eV per formula unit) |
| --- | --- |
| 1 | -31.7 |
| 2 | -11.4 |
| 3 | -12.1 |
| 4 | -19.4 |
| 5 | -18.9 |
| 6 | -30.2 |
| 7 | -28.3 |
| 8 | -22.5 |
| 9 | -18.6 |
| 10 | -11.8 |
| 11 | -29.3 |
| 12 | -33.9 |
| 13 | -20.5 |
| 14 | -21.2 |
| 15 | -11.9 |
| 16 | -23.4 |
| 17 | -16.5 |
| 18 | -31.5 |
| 19 | -11.7 |
| 20 | -9.7 |